Below is a relaxed SrY2In3AgAu2 crystal, with properties calculated at the PBE level.

Calculated values
M_tot (Bohr magnetons per cell): 0.0
Uncorrected energy (eV per atom): -4.187

Geometry as CIF:
```
data_SrY2In3AgAu2
_space_group_name_H-M_alt 'P 1'
_space_group_IT_number 1
_cell_length_a 3.990
_cell_length_b 7.979
_cell_length_c 7.979
_cell_angle_alpha 120.49
_cell_angle_beta 90.00
_cell_angle_gamma 90.00
loop_
_space_group_symop_operation_xyz
'x,y,z'
loop_
_atom_site_label
_atom_site_type_symbol
_atom_site_fract_x
_atom_site_fract_y
_atom_site_fract_z
_atom_site_occupancy
Sr1 Sr 0.000 0.000 0.000 1
Y1 Y 0.000 0.406 0.813 1
Y2 Y 0.000 0.813 0.406 1
In1 In 0.500 0.147 0.411 1
In2 In 0.500 0.411 0.147 1
In3 In 0.500 0.664 0.664 1
Ag1 Ag 0.000 0.412 0.412 1
Au1 Au 0.500 0.076 0.731 1
Au2 Au 0.500 0.731 0.076 1
```

=====

Below is a relaxed Tb3In3Ag2Au crystal, with properties calculated at the PBE level.

Calculated values
M_tot (Bohr magnetons per cell): 0.0
Uncorrected energy (eV per atom): -3.969

Geometry as CIF:
```
data_Tb3In3Ag2Au
_space_group_name_H-M_alt 'P 1'
_space_group_IT_number 1
_cell_length_a 7.850
_cell_length_b 7.850
_cell_length_c 3.966
_cell_angle_alpha 90.00
_cell_angle_beta 90.00
_cell_angle_gamma 120.00
loop_
_space_group_symop_operation_xyz
'x,y,z'
loop_
_atom_site_label
_atom_site_type_symbol
_atom_site_fract_x
_atom_site_fract_y
_atom_site_fract_z
_atom_site_occupancy
Tb1 Tb 0.000 0.599 0.000 1
Tb2 Tb 0.401 0.401 0.000 1
Tb3 Tb 0.599 0.000 0.000 1
In1 In 0.000 0.264 0.500 1
In2 In 0.264 0.000 0.500 1
In3 In 0.736 0.736 0.500 1
Ag1 Ag 0.333 0.667 0.500 1
Ag2 Ag 0.667 0.333 0.500 1
Au1 Au 0.000 0.000 0.000 1
```

=====

Below is a relaxed Tb3In3AgAu2 crystal, with properties calculated at the PBE level.

Calculated values
M_tot (Bohr magnetons per cell): 0.0
Uncorrected energy (eV per atom): -4.157

Geometry as CIF:
```
data_Tb3In3AgAu2
_space_group_name_H-M_alt 'P 1'
_space_group_IT_number 1
_cell_length_a 7.859
_cell_length_b 7.859
_cell_length_c 3.942
_cell_angle_alpha 90.00
_cell_angle_beta 90.00
_cell_angle_gamma 120.00
loop_
_space_group_symop_operation_xyz
'x,y,z'
loop_
_atom_site_label
_atom_site_type_symbol
_atom_site_fract_x
_atom_site_fract_y
_atom_site_fract_z
_atom_site_occupancy
Tb1 Tb 0.000 0.593 0.000 1
Tb2 Tb 0.407 0.407 0.000 1
Tb3 Tb 0.593 0.000 0.000 1
In1 In 0.000 0.261 0.500 1
In2 In 0.261 0.000 0.500 1
In3 In 0.739 0.739 0.500 1
Ag1 Ag 0.000 0.000 0.000 1
Au1 Au 0.333 0.667 0.500 1
Au2 Au 0.667 0.333 0.500 1
```

=====

Below is a relaxed Tb2TmIn3Ag2Au crystal, with properties calculated at the PBE level.

Calculated values
M_tot (Bohr magnetons per cell): 0.0
Uncorrected energy (eV per atom): -3.943

Geometry as CIF:
```
data_Tb2TmIn3Ag2Au
_space_group_name_H-M_alt 'P 1'
_space_group_IT_number 1
_cell_length_a 3.918
_cell_length_b 7.830
_cell_length_c 7.830
_cell_angle_alpha 119.86
_cell_angle_beta 90.00
_cell_angle_gamma 90.00
loop_
_space_group_symop_operation_xyz
'x,y,z'
loop_
_atom_site_label
_atom_site_type_symbol
_atom_site_fract_x
_atom_site_fract_y
_atom_site_fract_z
_atom_site_occupancy
Tb1 Tb 0.000 0.199 0.801 1
Tb2 Tb 0.000 0.801 0.199 1
Tm1 Tm 0.000 0.597 0.597 1
In1 In 0.500 0.200 0.466 1
In2 In 0.500 0.466 0.200 1
In3 In 0.500 0.934 0.934 1
Ag1 Ag 0.500 0.534 0.863 1
Ag2 Ag 0.500 0.863 0.534 1
Au1 Au 0.000 0.202 0.202 1
```

=====

Below is a relaxed TbTm2In3Ag2Au crystal, with properties calculated at the PBE level.

Calculated values
M_tot (Bohr magnetons per cell): 0.0
Uncorrected energy (eV per atom): -3.918

Geometry as CIF:
```
data_TbTm2In3Ag2Au
_space_group_name_H-M_alt 'P 1'
_space_group_IT_number 1
_cell_length_a 3.904
_cell_length_b 7.829
_cell_length_c 7.829
_cell_angle_alpha 120.26
_cell_angle_beta 90.00
_cell_angle_gamma 90.00
loop_
_space_group_symop_operation_xyz
'x,y,z'
loop_
_atom_site_label
_atom_site_type_symbol
_atom_site_fract_x
_atom_site_fract_y
_atom_site_fract_z
_atom_site_occupancy
Tb1 Tb 0.000 0.000 0.000 1
Tm1 Tm 0.000 0.398 0.796 1
Tm2 Tm 0.000 0.796 0.398 1
In1 In 0.500 0.132 0.399 1
In2 In 0.500 0.399 0.132 1
In3 In 0.500 0.666 0.666 1
Ag1 Ag 0.500 0.067 0.730 1
Ag2 Ag 0.500 0.730 0.067 1
Au1 Au 0.000 0.401 0.401 1
```

=====

Below is a relaxed TlInAgAu crystal, with properties calculated at the PBE level.

Calculated values
Distance to the lowest polymorph of the same formula (meV/atom): 0

Geometry as CIF:
```
data_TlInAgAu
_space_group_name_H-M_alt 'P 1'
_space_group_IT_number 1
_cell_length_a 7.127
_cell_length_b 7.127
_cell_length_c 7.127
_cell_angle_alpha 90.00
_cell_angle_beta 90.00
_cell_angle_gamma 90.00
loop_
_space_group_symop_operation_xyz
'x,y,z'
loop_
_atom_site_label
_atom_site_type_symbol
_atom_site_fract_x
_atom_site_fract_y
_atom_site_fract_z
_atom_site_occupancy
Tl1 Tl 0.000 0.000 0.000 1
Tl2 Tl 0.000 0.500 0.500 1
Tl3 Tl 0.500 0.000 0.500 1
Tl4 Tl 0.500 0.500 0.000 1
In1 In 0.000 0.000 0.500 1
In2 In 0.000 0.500 0.000 1
In3 In 0.500 0.000 0.000 1
In4 In 0.500 0.500 0.500 1
Ag1 Ag 0.250 0.250 0.250 1
Ag2 Ag 0.250 0.750 0.750 1
Ag3 Ag 0.750 0.250 0.750 1
Ag4 Ag 0.750 0.750 0.250 1
Au1 Au 0.250 0.250 0.750 1
Au2 Au 0.250 0.750 0.250 1
Au3 Au 0.750 0.250 0.250 1
Au4 Au 0.750 0.750 0.750 1
```

=====

Below is a relaxed Tm3ZnIn2AgAu2 crystal, with properties calculated at the PBE level.

Calculated values
M_tot (Bohr magnetons per cell): 0.0
Uncorrected energy (eV per atom): -3.906

Geometry as CIF:
```
data_Tm3ZnIn2AgAu2
_space_group_name_H-M_alt 'P 1'
_space_group_IT_number 1
_cell_length_a 3.763
_cell_length_b 7.795
_cell_length_c 7.795
_cell_angle_alpha 120.35
_cell_angle_beta 90.00
_cell_angle_gamma 90.00
loop_
_space_group_symop_operation_xyz
'x,y,z'
loop_
_atom_site_label
_atom_site_type_symbol
_atom_site_fract_x
_atom_site_fract_y
_atom_site_fract_z
_atom_site_occupancy
Tm1 Tm 0.000 0.000 0.000 1
Tm2 Tm 0.000 0.171 0.571 1
Tm3 Tm 0.000 0.571 0.171 1
Zn1 Zn 0.500 0.306 0.306 1
In1 In 0.500 0.581 0.840 1
In2 In 0.500 0.840 0.581 1
Ag1 Ag 0.000 0.558 0.558 1
Au1 Au 0.500 0.247 0.917 1
Au2 Au 0.500 0.917 0.247 1
```

=====

Below is a relaxed YInAgAu crystal, with properties calculated at the PBE level.

Calculated values
Distance to the lowest polymorph of the same formula (meV/atom): 117
M_tot (Bohr magnetons per cell): 0.0

Geometry as CIF:
```
data_YInAgAu
_space_group_name_H-M_alt 'P 1'
_space_group_IT_number 1
_cell_length_a 7.020
_cell_length_b 7.020
_cell_length_c 7.020
_cell_angle_alpha 90.00
_cell_angle_beta 90.00
_cell_angle_gamma 90.00
loop_
_space_group_symop_operation_xyz
'x,y,z'
loop_
_atom_site_label
_atom_site_type_symbol
_atom_site_fract_x
_atom_site_fract_y
_atom_site_fract_z
_atom_site_occupancy
Y1 Y 0.000 0.000 0.000 1
Y2 Y 0.000 0.500 0.500 1
Y3 Y 0.500 0.000 0.500 1
Y4 Y 0.500 0.500 0.000 1
In1 In 0.250 0.250 0.250 1
In2 In 0.250 0.750 0.750 1
In3 In 0.750 0.250 0.750 1
In4 In 0.750 0.750 0.250 1
Ag1 Ag 0.000 0.000 0.500 1
Ag2 Ag 0.000 0.500 0.000 1
Ag3 Ag 0.500 0.000 0.000 1
Ag4 Ag 0.500 0.500 0.500 1
Au1 Au 0.250 0.250 0.750 1
Au2 Au 0.250 0.750 0.250 1
Au3 Au 0.750 0.250 0.250 1
Au4 Au 0.750 0.750 0.750 1
```

=====

Below is a relaxed YInAgAu crystal, with properties calculated at the PBE level.

Calculated values
Distance to the lowest polymorph of the same formula (meV/atom): 0
M_tot (Bohr magnetons per cell): 0.0

Geometry as CIF:
```
data_YInAgAu
_space_group_name_H-M_alt 'P 1'
_space_group_IT_number 1
_cell_length_a 6.994
_cell_length_b 6.994
_cell_length_c 6.994
_cell_angle_alpha 90.00
_cell_angle_beta 90.00
_cell_angle_gamma 90.00
loop_
_space_group_symop_operation_xyz
'x,y,z'
loop_
_atom_site_label
_atom_site_type_symbol
_atom_site_fract_x
_atom_site_fract_y
_atom_site_fract_z
_atom_site_occupancy
Y1 Y 0.000 0.000 0.000 1
Y2 Y 0.000 0.500 0.500 1
Y3 Y 0.500 0.000 0.500 1
Y4 Y 0.500 0.500 0.000 1
In1 In 0.000 0.000 0.500 1
In2 In 0.000 0.500 0.000 1
In3 In 0.500 0.000 0.000 1
In4 In 0.500 0.500 0.500 1
Ag1 Ag 0.250 0.250 0.250 1
Ag2 Ag 0.250 0.750 0.750 1
Ag3 Ag 0.750 0.250 0.750 1
Ag4 Ag 0.750 0.750 0.250 1
Au1 Au 0.250 0.250 0.750 1
Au2 Au 0.250 0.750 0.250 1
Au3 Au 0.750 0.250 0.250 1
Au4 Au 0.750 0.750 0.750 1
```

=====

Below is a relaxed YInAgAu crystal, with properties calculated at the PBE level.

Calculated values
Distance to the lowest polymorph of the same formula (meV/atom): 170
M_tot (Bohr magnetons per cell): 0.0

Geometry as CIF:
```
data_YInAgAu
_space_group_name_H-M_alt 'P 1'
_space_group_IT_number 1
_cell_length_a 6.982
_cell_length_b 6.982
_cell_length_c 6.982
_cell_angle_alpha 90.00
_cell_angle_beta 90.00
_cell_angle_gamma 90.00
loop_
_space_group_symop_operation_xyz
'x,y,z'
loop_
_atom_site_label
_atom_site_type_symbol
_atom_site_fract_x
_atom_site_fract_y
_atom_site_fract_z
_atom_site_occupancy
Y1 Y 0.000 0.000 0.000 1
Y2 Y 0.000 0.500 0.500 1
Y3 Y 0.500 0.000 0.500 1
Y4 Y 0.500 0.500 0.000 1
In1 In 0.250 0.250 0.250 1
In2 In 0.250 0.750 0.750 1
In3 In 0.750 0.250 0.750 1
In4 In 0.750 0.750 0.250 1
Ag1 Ag 0.250 0.250 0.750 1
Ag2 Ag 0.250 0.750 0.250 1
Ag3 Ag 0.750 0.250 0.250 1
Ag4 Ag 0.750 0.750 0.750 1
Au1 Au 0.000 0.000 0.500 1
Au2 Au 0.000 0.500 0.000 1
Au3 Au 0.500 0.000 0.000 1
Au4 Au 0.500 0.500 0.500 1
```

=====

Below is a relaxed ZrInAgAu crystal, with properties calculated at the PBE level.

Calculated values
Distance to the lowest polymorph of the same formula (meV/atom): 149
M_tot (Bohr magnetons per cell): 0.0

Geometry as CIF:
```
data_ZrInAgAu
_space_group_name_H-M_alt 'P 1'
_space_group_IT_number 1
_cell_length_a 6.810
_cell_length_b 6.810
_cell_length_c 6.810
_cell_angle_alpha 90.00
_cell_angle_beta 90.00
_cell_angle_gamma 90.00
loop_
_space_group_symop_operation_xyz
'x,y,z'
loop_
_atom_site_label
_atom_site_type_symbol
_atom_site_fract_x
_atom_site_fract_y
_atom_site_fract_z
_atom_site_occupancy
Zr1 Zr 0.000 0.000 0.000 1
Zr2 Zr 0.000 0.500 0.500 1
Zr3 Zr 0.500 0.000 0.500 1
Zr4 Zr 0.500 0.500 0.000 1
In1 In 0.250 0.250 0.750 1
In2 In 0.250 0.750 0.250 1
In3 In 0.750 0.250 0.250 1
In4 In 0.750 0.750 0.750 1
Ag1 Ag 0.250 0.250 0.250 1
Ag2 Ag 0.250 0.750 0.750 1
Ag3 Ag 0.750 0.250 0.750 1
Ag4 Ag 0.750 0.750 0.250 1
Au1 Au 0.000 0.000 0.500 1
Au2 Au 0.000 0.500 0.000 1
Au3 Au 0.500 0.000 0.000 1
Au4 Au 0.500 0.500 0.500 1
```

=====

Below is a relaxed ZrInAgAu crystal, with properties calculated at the PBE level.

Calculated values
Distance to the lowest polymorph of the same formula (meV/atom): 0
M_tot (Bohr magnetons per cell): 0.0

Geometry as CIF:
```
data_ZrInAgAu
_space_group_name_H-M_alt 'P 1'
_space_group_IT_number 1
_cell_length_a 6.810
_cell_length_b 6.810
_cell_length_c 6.810
_cell_angle_alpha 90.00
_cell_angle_beta 90.00
_cell_angle_gamma 90.00
loop_
_space_group_symop_operation_xyz
'x,y,z'
loop_
_atom_site_label
_atom_site_type_symbol
_atom_site_fract_x
_atom_site_fract_y
_atom_site_fract_z
_atom_site_occupancy
Zr1 Zr 0.000 0.000 0.000 1
Zr2 Zr 0.000 0.500 0.500 1
Zr3 Zr 0.500 0.000 0.500 1
Zr4 Zr 0.500 0.500 0.000 1
In1 In 0.000 0.000 0.500 1
In2 In 0.000 0.500 0.000 1
In3 In 0.500 0.000 0.000 1
In4 In 0.500 0.500 0.500 1
Ag1 Ag 0.250 0.250 0.250 1
Ag2 Ag 0.250 0.750 0.750 1
Ag3 Ag 0.750 0.250 0.750 1
Ag4 Ag 0.750 0.750 0.250 1
Au1 Au 0.250 0.250 0.750 1
Au2 Au 0.250 0.750 0.250 1
Au3 Au 0.750 0.250 0.250 1
Au4 Au 0.750 0.750 0.750 1
```

=====

Repeat the eleventh record exactly.
Below is a relaxed ZrInAgAu crystal, with properties calculated at the PBE level.

Calculated values
Distance to the lowest polymorph of the same formula (meV/atom): 149
M_tot (Bohr magnetons per cell): 0.0

Geometry as CIF:
```
data_ZrInAgAu
_space_group_name_H-M_alt 'P 1'
_space_group_IT_number 1
_cell_length_a 6.810
_cell_length_b 6.810
_cell_length_c 6.810
_cell_angle_alpha 90.00
_cell_angle_beta 90.00
_cell_angle_gamma 90.00
loop_
_space_group_symop_operation_xyz
'x,y,z'
loop_
_atom_site_label
_atom_site_type_symbol
_atom_site_fract_x
_atom_site_fract_y
_atom_site_fract_z
_atom_site_occupancy
Zr1 Zr 0.000 0.000 0.000 1
Zr2 Zr 0.000 0.500 0.500 1
Zr3 Zr 0.500 0.000 0.500 1
Zr4 Zr 0.500 0.500 0.000 1
In1 In 0.250 0.250 0.750 1
In2 In 0.250 0.750 0.250 1
In3 In 0.750 0.250 0.250 1
In4 In 0.750 0.750 0.750 1
Ag1 Ag 0.250 0.250 0.250 1
Ag2 Ag 0.250 0.750 0.750 1
Ag3 Ag 0.750 0.250 0.750 1
Ag4 Ag 0.750 0.750 0.250 1
Au1 Au 0.000 0.000 0.500 1
Au2 Au 0.000 0.500 0.000 1
Au3 Au 0.500 0.000 0.000 1
Au4 Au 0.500 0.500 0.500 1
```

=====

Q: What is the formula in the fourth record?
A: Tb2TmIn3Ag2Au